Ca2LaVSn | PBE | relaxed

Summary:
DFT formation energy = 0.42 eV per atom

Cell lengths 5.8652, 5.8652, 5.2611 Å; angles 90.00, 90.00, 90.00 degrees
Closest atoms and distances in Å follow each position.
Space group P4/mmm (No. 123)
Symmetry-distinct sites (fractional):
Ca  0.0000  0.5000  0.0000 [2 per cell]  2 Sn 2.93
La  0.0000  0.0000  0.5000 [1 per cell]  8 Ca 3.94, 4 V 4.15
V  0.5000  0.5000  0.5000 [1 per cell]  2 Sn 2.63
Sn  0.5000  0.5000  0.0000 [1 per cell]  2 V 2.63, 4 Ca 2.93